Record 1
Compound: TaPbBr2
Source: the Alexandria database
Functional: PBE
Structure: relaxed

Cell: 3.151 3.151 10.467 Å, 90.00 90.00 90.00°
Atoms (fractional coordinates):
Pb 0.000 0.000 0.548
Br 0.000 0.000 0.935
Br 0.500 0.500 0.236
Ta 0.500 0.500 0.781

Computed properties:
Its total energy is -4.581 eV per atom. The calculation puts the density at 8.76 g/cm³. As for the space group: P4mm (99). As for the energy relative to the elements, uncorrected: 0.146 eV per atom.

---

Record 2
Compound: NdThHg
Source: the Alexandria database
Functional: PBE
Structure: relaxed

Cell: 3.638 5.605 9.065 Å, 90.00 101.58 90.00°
Atoms (fractional coordinates):
Hg 0.435 0.250 0.870
Hg 0.565 0.750 0.130
Nd 0.912 0.750 0.825
Nd 0.088 0.250 0.175
Th 0.775 0.250 0.549
Th 0.225 0.750 0.451

Computed properties:
Its total energy is -4.385 eV per atom. The calculation puts the density at 10.58 g/cm³. Its formation energy is -222 meV per atom. As for the space group: Cmcm (63).

---

Record 3
Compound: CaTlSnPb
Source: the Alexandria database
Functional: PBE
Structure: relaxed

Cell: 4.785 4.960 4.869 Å, 90.00 90.00 90.00°
Atoms (fractional coordinates):
Ca 0.000 0.500 0.500
Tl 0.500 0.000 0.500
Sn 0.500 0.500 0.000
Pb 0.000 0.000 0.000

Computed properties:
Its total energy is -3.331 eV per atom. The calculation puts the density at 8.20 g/cm³. Its formation energy is -311 meV per atom. As for the space group: Pmmm (47).

---

Record 4
Compound: Cs2BeTeF
Source: the Alexandria database
Functional: PBE
Structure: relaxed

Cell: 7.076 3.623 7.076 Å, 90.00 90.00 90.00°
Atoms (fractional coordinates):
Cs 0.000 0.000 0.500
Cs 0.500 0.000 0.000
Be 0.000 0.000 0.000
Te 0.500 0.500 0.500
F 0.000 0.500 0.000

Computed properties:
Its total energy is -2.777 eV per atom. The calculation puts the density at 3.86 g/cm³. As for the space group: P4/mmm (123). As for the energy relative to the elements, uncorrected: -0.688 eV per atom.